# 1
Material: BaTe2H2
Method: DFT, PBE
State: relaxed

Results
Crystal system: monoclinic
N(E_F): 0.000 states/eV per cell
Final energy: -35.140 eV for the cell shown
SG: No. 15

a b c (Å): 5.2889 6.4192 10.1571
angles (deg): 109.44 90.00 114.33
Element x y z (fractional)
Ba (0.7027, 0.0000, 0.2500)
Ba (0.2973, 0.0000, 0.7500)
Te (0.3717, 0.3259, 0.1379)
Te (0.0458, 0.6741, 0.3621)
Te (0.6283, 0.6741, 0.8621)
Te (0.9542, 0.3259, 0.6379)
H (0.8497, 0.7933, 0.4687)
H (0.0564, 0.2067, 0.0313)
H (0.1503, 0.2067, 0.5313)
H (0.9436, 0.7933, 0.9687)

# 2
Material: SrBeOF2
Method: DFT, PBE
State: relaxed

Results
Crystal system: tetragonal
N(E_F): 2.703 states/eV per cell
SG: No. 123
Offset from the most stable computed form: 8.90 eV/f.u.

a b c (Å): 4.5336 4.5336 4.8558
angles (deg): 90.00 90.00 90.00
Element x y z (fractional)
Sr (0.0000, 0.0000, 0.0000)
Be (0.5000, 0.5000, 0.5000)
O (0.0000, 0.0000, 0.5000)
F (0.0000, 0.5000, 0.0000)
F (0.5000, 0.0000, 0.0000)

# 3
Material: LaTc2Rh
Method: DFT, PBE
State: relaxed

Results
Crystal system: monoclinic
N(E_F): 3.789 states/eV per cell
SG: No. 12
Energy relative to the elements: 0.831 eV/f.u.
Offset from the most stable computed form: 0.61 eV/f.u.

a b c (Å): 5.1323 5.1323 5.0632
angles (deg): 81.43 81.43 34.11
Element x y z (fractional)
La (0.7500, 0.7500, 0.7500)
Rh (0.2500, 0.2500, 0.2500)
Tc (0.9741, 0.9741, 0.0627)
Tc (0.5259, 0.5259, 0.4373)

# 4
Material: ReOsPd
Method: DFT, PBE
State: relaxed

Results
Crystal system: monoclinic
N(E_F): 4.841 states/eV per cell
SG: No. 12
Energy relative to the elements: 1.773 eV/f.u.
Offset from the most stable computed form: 1.60 eV/f.u.

a b c (Å): 3.8800 3.8324 8.6579
angles (deg): 102.42 90.00 120.41
Element x y z (fractional)
Os (0.1987, 0.3974, 0.0934)
Os (0.8013, 0.6026, 0.9066)
Pd (0.3017, 0.6034, 0.4077)
Pd (0.6983, 0.3966, 0.5923)
Re (0.0936, 0.1873, 0.7736)
Re (0.9064, 0.8127, 0.2264)

# 5
Material: AcZrTiN3
Method: DFT, PBE
State: relaxed

Results
Crystal system: monoclinic
N(E_F): 3.008 states/eV per cell
Final energy: -105.877 eV for the cell shown
SG: No. 11

a b c (Å): 3.5447 7.2406 7.9995
angles (deg): 105.91 90.00 90.00
Element x y z (fractional)
Ac (0.7500, 0.8016, 0.8063)
Ac (0.2500, 0.1984, 0.1937)
Zr (0.2500, 0.6482, 0.1343)
Zr (0.7500, 0.3518, 0.8657)
Ti (0.2500, 0.1044, 0.6109)
Ti (0.7500, 0.8956, 0.3891)
N (0.2500, 0.8239, 0.4590)
N (0.7500, 0.8826, 0.1437)
N (0.7500, 0.4473, 0.1529)
N (0.7500, 0.1761, 0.5410)
N (0.2500, 0.5527, 0.8471)
N (0.2500, 0.1174, 0.8563)

# 6
Material: K2NaScF6
Method: DFT, PBE
State: relaxed

Results
Crystal system: cubic
N(E_F): 0.000 states/eV per cell
SG: No. 225
Offset from the most stable computed form: 0.05 eV/f.u.

a b c (Å): 6.0769 6.0769 6.0769
angles (deg): 60.00 60.00 60.00
Element x y z (fractional)
K (0.2500, 0.2500, 0.2500)
K (0.7500, 0.7500, 0.7500)
Na (0.5000, 0.5000, 0.5000)
Sc (0.0000, 0.0000, 0.0000)
F (0.2362, 0.2362, 0.7638)
F (0.2362, 0.7638, 0.7638)
F (0.7638, 0.7638, 0.2362)
F (0.2362, 0.7638, 0.2362)
F (0.7638, 0.2362, 0.7638)
F (0.7638, 0.2362, 0.2362)

# 7
Material: Mg4P5
Method: DFT, PBE
State: relaxed

Results
Crystal system: hexagonal
N(E_F): 10.614 states/eV per cell
SG: No. 193
Energy relative to the elements: -0.114 eV/f.u.
Offset from the most stable computed form: 0.62 eV/f.u.

a b c (Å): 8.0310 8.0310 5.4862
angles (deg): 90.00 90.00 120.00
Element x y z (fractional)
P (0.0000, 0.7086, 0.2500)
P (0.2914, 0.2914, 0.2500)
P (0.7086, 0.0000, 0.2500)
P (0.0000, 0.2914, 0.7500)
P (0.7086, 0.7086, 0.7500)
P (0.2914, 0.0000, 0.7500)
P (0.6667, 0.3333, 0.0000)
P (0.3333, 0.6667, 0.5000)
P (0.3333, 0.6667, 0.0000)
P (0.6667, 0.3333, 0.5000)
Mg (0.0000, 0.0000, 0.0000)
Mg (0.0000, 0.0000, 0.5000)
Mg (0.0000, 0.3774, 0.2500)
Mg (0.6226, 0.6226, 0.2500)
Mg (0.3774, 0.0000, 0.2500)
Mg (0.0000, 0.6226, 0.7500)
Mg (0.3774, 0.3774, 0.7500)
Mg (0.6226, 0.0000, 0.7500)

# 8
Material: LiTa2S4
Method: DFT, PBE
State: relaxed

Results
Crystal system: tetragonal
N(E_F): 3.361 states/eV per cell
SG: No. 119
Offset from the most stable computed form: 1.07 eV/f.u.

a b c (Å): 7.2252 7.2252 7.2277
angles (deg): 120.02 120.02 89.95
Element x y z (fractional)
Li (0.2500, 0.7500, 0.5000)
Li (0.0000, 0.0000, 0.0000)
Ta (0.6107, 0.3893, 0.7788)
Ta (0.6105, 0.8319, 0.2212)
Ta (0.6107, 0.3893, 0.2212)
Ta (0.1681, 0.3895, 0.7788)
S (0.8636, 0.1363, 0.2730)
S (0.3743, 0.6259, 0.2514)
S (0.8633, 0.5906, 0.7270)
S (0.8637, 0.1364, 0.7270)
S (0.4094, 0.1367, 0.2730)
S (0.3745, 0.1229, 0.7486)
S (0.3741, 0.6257, 0.7486)
S (0.8771, 0.6255, 0.2514)

# 9
Material: CoHg2Pb
Method: DFT, PBE
State: relaxed

Results
Crystal system: orthorhombic
N(E_F): 3.127 states/eV per cell
SG: No. 71
Energy relative to the elements: 1.323 eV/f.u.

a b c (Å): 7.0089 7.0089 7.0089
angles (deg): 154.58 143.02 45.41
Last column: magnetic moment on the atom in μB.
Element x y z (fractional)
Co (0.2500, 0.7500, 0.5000)  0.98
Hg (0.0646, 0.0646, 0.0000)  0.01
Hg (0.4354, 0.4354, 0.0000)  0.01
Pb (0.7500, 0.2500, 0.5000)  -0.01

# 10
Material: La4NdEr2
Method: DFT, PBE
State: relaxed

Results
Crystal system: orthorhombic
N(E_F): 23.215 states/eV per cell
SG: No. 74
Energy relative to the elements: 1.586 eV/f.u.
Offset from the most stable computed form: 1.09 eV/f.u.

a b c (Å): 6.9940 9.1084 9.1084
angles (deg): 79.42 67.42 67.42
Element x y z (fractional)
La (0.1531, 0.3446, 0.3491)
La (0.1531, 0.8491, 0.8446)
La (0.2253, 0.2427, 0.7427)
La (0.7892, 0.2427, 0.7427)
La (0.2108, 0.7573, 0.2573)
La (0.8469, 0.1509, 0.1554)
La (0.7747, 0.7573, 0.2573)
La (0.8469, 0.6554, 0.6509)
Nd (0.0000, 0.5000, 0.0000)
Nd (0.5000, 0.5000, 0.0000)
Er (0.2839, 0.9661, 0.4661)
Er (0.5000, 0.0000, 0.0000)
Er (0.5000, 0.5000, 0.5000)
Er (0.7161, 0.0339, 0.5339)

# 11
Material: CuHRh3
Method: DFT, PBE
State: relaxed

Results
Crystal system: cubic
N(E_F): 7.099 states/eV per cell
SG: No. 221
Offset from the most stable computed form: 0.00 eV/f.u.

a b c (Å): 3.8757 3.8757 3.8757
angles (deg): 90.00 90.00 90.00
Element x y z (fractional)
H (0.0000, 0.0000, 0.0000)
Rh (0.0000, 0.5000, 0.0000)
Rh (0.0000, 0.0000, 0.5000)
Rh (0.5000, 0.0000, 0.0000)
Cu (0.5000, 0.5000, 0.5000)

Number 1: ρ 4.5 Mg/m³. Number 2: ρ 2.5 Mg/m³. Number 3: ρ 9.8 Mg/m³. Number 4: ρ 14.9 Mg/m³. Number 5: ρ 6.9 Mg/m³. Number 6: ρ 2.7 Mg/m³. Number 7: ρ 2.7 Mg/m³. Number 8: ρ 6.2 Mg/m³. Number 9: ρ 12.5 Mg/m³. Number 10: ρ 7.0 Mg/m³. Number 11: ρ 10.6 Mg/m³.